# CdFe2AsO4 | the Alexandria database | GGA+U | optimized geometry
# **E_tot**: -5.55 eV/atom
data_CdFe2AsO4
_symmetry_space_group_name_H-M 'C 1 2/c 1'
_symmetry_Int_Tables_number 15
_symmetry_space_group_name_Hall '-C 2yc'
_cell_length_a 8.600
_cell_length_b 8.914
_cell_length_c 6.368
_cell_angle_alpha 90.00
_cell_angle_beta 125.17
_cell_angle_gamma 90.00
loop_
_atom_site_label
_atom_site_fract_x
_atom_site_fract_y
_atom_site_fract_z
_atom_site_occupancy
Cd1 0.250 0.250 0.000 1
Fe1 0.000 0.000 0.000 1
Fe2 0.250 0.250 0.500 1
As1 0.000 0.500 0.000 1
O1 0.022 0.257 0.516 1
O2 0.207 0.011 0.381 1